1.
Here is an optimized crystal structure of LaSm3S4 from Alexandria. Energies are from GGA-PBE.

POSCAR file:
```
LaSm3S4
1.0
4.0686 -5.7269 0.0000
4.0686 5.7269 0.0000
0.0000 0.0000 4.0207
La Sm S
1 3 4
Cartesian
0.0000 0.0000 0.0000
2.0343 2.8635 2.0104
2.0343 -2.8635 2.0104
4.0686 0.0000 0.0000
4.0686 2.8255 0.0000
2.0918 0.0000 2.0104
6.0453 0.0000 2.0104
4.0686 -2.8255 0.0000
```

## Properties
* formation energy (no corrections): -16.46 eV/f.u.
* relative energy among the computed polymorphs: 0.0 meV per atom
* DOS at the Fermi energy: 5.1 states/eV/cell
* E: -6.51 eV/atom
* total magnetic moment: 0.0000 μB/atom
* space-group type: Cmmm, No. 65

***

2.
Here is an optimized crystal structure of LaSmS2 from Alexandria. Energies are from GGA-PBE.

POSCAR file:
```
LaSmS2
1.0
2.0306 1.1723 6.7265
-2.0306 1.1723 6.7265
0.0000 -2.3447 6.7265
La Sm S
1 1 2
Cartesian
0.0000 0.0000 0.0000
0.0000 0.0000 10.0898
0.0000 0.0000 4.9737
0.0000 0.0000 15.2059
```

## Properties
* formation energy (no corrections): -8.43 eV/f.u.
* relative energy among the computed polymorphs: 0.0 meV per atom
* DOS at the Fermi energy: 1.4 states/eV/cell
* E: -6.58 eV/atom
* total magnetic moment: 0.0000 μB/atom
* space-group type: R-3m, No. 166

***

3.
Here is an optimized crystal structure of La2SmS4 from Alexandria. Energies are from GGA-PBE.

POSCAR file:
```
La2SmS4
1.0
1.9765 -6.8978 0.0000
1.9765 6.8978 0.0000
0.0000 0.0000 13.5891
La Sm S
4 2 8
Cartesian
1.9765 5.1116 7.7842
1.9765 5.1116 12.5994
1.9765 -5.1116 0.9897
1.9765 -5.1116 5.8049
1.9765 1.7540 10.1918
1.9765 -1.7540 3.3973
1.9765 6.6371 10.1918
1.9765 3.8446 1.6964
1.9765 3.8446 5.0981
1.9765 0.0000 0.0000
1.9765 0.0000 6.7946
1.9765 -3.8446 8.4910
1.9765 -3.8446 11.8927
1.9765 -6.6371 3.3973
```

## Properties
* formation energy (no corrections): -14.62 eV/f.u.
* relative energy among the computed polymorphs: 27.6 meV per atom
* DOS at the Fermi energy: 3.7 states/eV/cell
* E: -6.53 eV/atom
* total magnetic moment: 0.0000 μB/atom
* space-group type: Cmcm, No. 63

***

What is the relative energy among the computed polymorphs in the third record?
27.6 meV per atom

***

relative energy among the computed polymorphs of number 3 (La2SmS4)?
27.6 meV per atom

***

Among the records above, which one has the lowest DOS at the Fermi energy?
LaSmS2